The following is a DFT calculation (GGA-PBE) of crystalline NbIr2 at its relaxed geometry.

a b c (Å): 12.414 12.414 12.414
angles (deg): 161.80 161.80 25.85
Sites, in units of the cell vectors:
Nb 0.296 0.546 0.750
Nb 0.454 0.704 0.750
Nb 0.546 0.296 0.250
Nb 0.704 0.454 0.250
Ir 0.042 0.792 0.250
Ir 0.125 0.375 0.750
Ir 0.208 0.958 0.250
Ir 0.375 0.125 0.250
Ir 0.625 0.875 0.750
Ir 0.792 0.042 0.750
Ir 0.875 0.625 0.250
Ir 0.958 0.208 0.750

Calculated values
The size of the total moment comes out at 0.00 μB per formula unit. The formation energy comes out at -54.2 kJ per mole of atoms. As for the space group: No. 141.